{
  "formula": "MoPb2Cl",
  "functional": "GGA-PBE",
  "state": "optimized geometry",
  "lattice_angstrom": [[5.637, -0.032, -0.018], [1.737, 5.362, 0.018], [-3.453, -2.988, 3.304]],
  "species": ["Cl", "Mo", "Pb", "Pb"],
  "fractional_positions": [[0.750, 0.250, 0.500], [0.250, 0.750, 0.500], [0.024, 0.024, 0.000], [0.476, 0.476, 0.000]],
  "dos_at_fermi_per_ev_cell": 2.53,
  "magmom_total_mub_per_fu": 2.97,
  "sg": "Immm, No. 71",
  "polymorph_energy_kj_per_mol_atoms": 36.95,
  "formation_energy_uncorrected_ev_per_atom": 0.611
}